*i*
Compound: Cd3Pd3Pt2
Source: the Alexandria database
Functional: GGA-PBE
Structure: optimized geometry

extended XYZ file:
```
8
Lattice="4.2154 0.0000 0.0000 0.0000 4.1461 0.0000 0.0000 0.0000 7.7602" Properties=species:S:1:pos:R:3 pbc="T T T"
Cd 0.0000 2.0731 3.8801
Cd 2.1077 0.0000 3.8801
Cd 2.1077 0.0000 0.0000
Pd 2.1077 2.0731 1.9408
Pd 2.1077 2.0731 5.8194
Pd 0.0000 2.0731 0.0000
Pt 0.0000 0.0000 1.9172
Pt 0.0000 0.0000 5.8430
```

Computed properties:
As for the theoretical density: 12.81 Mg/m³. As for the symmetry: Pmmm.



*ii*
Compound: Cd3Pd3Pt2
Source: the Alexandria database
Functional: GGA-PBE
Structure: optimized geometry

extended XYZ file:
```
8
Lattice="3.9117 0.0000 0.0000 0.0000 4.1157 -0.3070 -1.9559 -1.4313 8.5296" Properties=species:S:1:pos:R:3 pbc="T T T"
Pd 0.0000 2.5235 6.0882
Pd 1.9559 2.0578 -0.1535
Pd 1.9559 0.1608 2.1344
Cd 0.0000 0.0000 0.0000
Cd 0.0000 2.2207 2.0052
Cd 1.9559 0.4636 6.2174
Pt 0.0000 0.3142 4.2025
Pt 1.9559 2.3701 4.0201
```

Computed properties:
As for the theoretical density: 12.82 Mg/m³. As for the symmetry: Immm.



Short version: *ii* is the most stable of them.



*i*
Compound: CdPd6Pt3
Source: the Alexandria database
Functional: GGA-PBE
Structure: optimized geometry

extended XYZ file:
```
20
Lattice="7.4319 0.0000 -0.6413 0.0000 6.7009 0.0000 -0.5083 0.0000 6.8052" Properties=species:S:1:pos:R:3 pbc="T T T"
Pd 5.7720 4.6248 3.3853
Pd 2.3063 6.0902 2.8790
Pd 1.1516 2.0760 2.7786
Pd 4.6173 0.6107 3.2849
Pd 2.3102 5.4265 0.3033
Pd 5.1298 5.7835 0.9421
Pd 1.1597 4.2678 4.6654
Pd 1.1555 2.7398 0.2030
Pd 5.7681 3.9611 5.9609
Pd 5.7639 2.4331 1.4985
Pd 4.6134 1.2744 5.8606
Pd 1.7938 0.9174 5.2218
Pt 3.2239 1.1728 1.0683
Pt 3.7159 3.3504 -0.3207
Pt 6.6857 2.1776 4.1503
Pt 3.6997 5.5281 5.0956
Pt 0.2379 4.5233 2.0136
Pt -0.2541 0.0000 3.4026
Cd 0.0000 0.0000 0.0000
Cd 3.4618 3.3504 3.0820
```

Computed properties:
As for the theoretical density: 13.18 Mg/m³. As for the symmetry: P2_1/c.



*ii*
Compound: CdPd6Pt3
Source: the Alexandria database
Functional: GGA-PBE
Structure: optimized geometry

extended XYZ file:
```
20
Lattice="-0.8978 -2.1175 -4.0486 6.1952 -4.0387 0.7385 -8.2378 -4.1933 4.0199" Properties=species:S:1:pos:R:3 pbc="T T T"
Pd 2.9418 -5.1049 0.6788
Pd -2.4149 -3.5965 1.0777
Pd -5.8823 -5.2447 0.0311
Pd -2.3379 -8.4549 0.9241
Pd -6.9730 -4.4729 2.5469
Pd 2.1202 -2.6946 -0.3997
Pd -0.5256 -6.7531 -0.3679
Pd -5.0607 -7.6550 1.1095
Pd 4.0325 -5.8767 -1.8370
Pd -0.6026 -1.8946 -0.2143
Pd -1.6106 -5.9933 2.1529
Pd -1.3299 -4.3563 -1.4431
Pt 0.4516 -2.6659 -2.7222
Pt 1.3192 -5.0718 -1.6563
Pt -3.3921 -7.6836 3.4320
Pt -3.2298 -6.0323 -0.1452
Pt -4.2596 -5.2778 2.3661
Pt 0.2893 -4.3172 0.8550
Cd -3.9628 -3.5174 -1.2980
Cd 1.0223 -6.8321 2.0078
```

Computed properties:
As for the theoretical density: 13.99 Mg/m³. As for the symmetry: P2_1/m.



Short version: *ii* is the most stable of them.



*i*
Compound: Cd2Pd2Pt5
Source: the Alexandria database
Functional: GGA-PBE
Structure: optimized geometry

extended XYZ file:
```
9
Lattice="-0.2779 6.2564 -1.3761 -3.5061 -5.9527 6.4694 3.3360 3.6542 0.6563" Properties=species:S:1:pos:R:3 pbc="T T T"
Cd -1.2978 2.1809 1.2518
Cd 0.8499 1.7770 4.4979
Pt 0.0469 4.0285 2.9968
Pt -1.0295 -0.0987 5.5533
Pt -0.4948 -0.0707 2.7529
Pt 0.5815 4.0565 0.1964
Pt 0.0000 0.0000 0.0000
Pd 1.4595 1.8109 1.7066
Pd -1.9074 2.1470 4.0431
```

Computed properties:
As for the theoretical density: 15.92 Mg/m³. As for the symmetry: P-1.



*ii*
Compound: Cd2Pd2Pt5
Source: the Alexandria database
Functional: GGA-PBE
Structure: optimized geometry

extended XYZ file:
```
9
Lattice="3.8162 0.0000 0.0000 -1.9081 7.4723 -1.1108 0.0000 -2.7556 6.0934" Properties=species:S:1:pos:R:3 pbc="T T T"
Pt 1.9081 3.2520 2.7098
Pt 1.9081 1.9289 0.3594
Pt 0.0000 1.4647 2.2727
Pt 0.0000 0.0000 0.0000
Pt 0.0000 2.7878 4.6231
Pd 0.0000 5.1860 2.9387
Pd 1.9081 -0.4693 2.0438
Cd 1.9081 4.8341 0.4787
Cd 0.0000 -0.1174 4.5038
```

Computed properties:
As for the theoretical density: 14.48 Mg/m³. As for the symmetry: C2/m.



Short version: *i* is the most stable of them.



*i*
Compound: Cd4PdPt
Source: the Alexandria database
Functional: GGA-PBE
Structure: optimized geometry

extended XYZ file:
```
6
Lattice="2.9689 0.0000 0.8587 1.9321 6.0018 -1.1182 -0.4636 -3.0681 7.1644" Properties=species:S:1:pos:R:3 pbc="T T T"
Cd 3.0795 0.5773 6.0382
Cd 0.8654 -0.8874 2.5698
Cd 3.5720 3.8211 4.3352
Cd 1.3579 2.3564 0.8667
Pt 2.2187 1.4669 3.4525
Pd 0.0000 0.0000 0.0000
```

Computed properties:
As for the theoretical density: 10.87 Mg/m³. As for the symmetry: C2/m.



*ii*
Compound: Cd4PdPt
Source: the Alexandria database
Functional: GGA-PBE
Structure: optimized geometry

extended XYZ file:
```
6
Lattice="-3.2186 2.9105 1.4952 -3.0043 -1.7969 -2.9704 -1.8084 -4.2437 4.3822" Properties=species:S:1:pos:R:3 pbc="T T T"
Cd -5.0596 -1.3887 -1.1202
Cd -1.9489 -1.9482 -0.3845
Cd -2.8489 -4.0593 1.8003
Cd -5.9615 -3.5052 1.0606
Pt -4.9126 -3.6705 3.6464
Pd -3.9011 -3.9020 -0.7776
```

Computed properties:
As for the theoretical density: 9.30 Mg/m³. As for the symmetry: C2/m.



Short version: *i* is the most stable of them.



*i*
Compound: CdPd2Pt8
Source: the Alexandria database
Functional: GGA-PBE
Structure: optimized geometry

extended XYZ file:
```
11
Lattice="-0.8245 -5.5031 -0.1395 1.6095 5.2452 4.8686 -5.4929 4.7703 5.1767" Properties=species:S:1:pos:R:3 pbc="T T T"
Pd -1.6271 0.7349 3.0443
Pd -3.1121 3.6067 6.6884
Pt -1.1214 1.9960 5.4010
Pt -4.5856 6.6401 8.6296
Pt -2.6235 6.3850 6.7210
Pt -4.0397 -0.3347 4.1310
Pt -0.7371 4.6926 5.5001
Pt -0.1783 -2.2137 1.0181
Pt -3.7091 2.4220 4.2730
Pt -2.1022 -2.0003 2.9481
Cd -5.2506 5.2252 6.1857
```

Computed properties:
As for the theoretical density: 16.96 Mg/m³. As for the symmetry: P1.



*ii*
Compound: CdPd2Pt8
Source: the Alexandria database
Functional: GGA-PBE
Structure: optimized geometry

extended XYZ file:
```
11
Lattice="5.5631 0.5307 0.4411 0.9202 6.6128 2.0034 0.9202 3.1786 6.1351" Properties=species:S:1:pos:R:3 pbc="T T T"
Pt 2.9418 5.1418 6.0212
Pt 5.4276 6.0238 5.0069
Pt 4.4617 5.1803 2.5584
Pt 0.6278 2.5294 2.1024
Pt 1.9759 4.2983 3.5727
Pt 2.9418 6.8597 3.9543
Pt 6.7756 7.7927 6.4772
Pt 4.4617 3.4624 4.6253
Cd 0.0000 0.0000 0.0000
Pd 3.8498 7.8216 6.5012
Pd 3.5536 2.5005 2.0784
```

Computed properties:
As for the theoretical density: 16.76 Mg/m³. As for the symmetry: C2/m.



Short version: *i* is the most stable of them.